[1]
This record from the Alexandria database describes a relaxed structure of PdI2O. The functional is GGA-PBE.

The calculated volume comes out at 19.45 Å³ per atom. For the density of states at the Fermi level, the calculation gives 19.14 states/eV per cell. The value obtained for the offset from the most stable computed form is 1.170 eV/f.u. Its magnetic moment is 0.00 μB/f.u. The calculation puts the formation energy without anion corrections at 0.64 eV/atom.

The structure belongs to space group Fm-3m (No. 225); the cell edges are 6.776, 6.776 and 6.776 Å and the angles 90.00°, 90.00° and 90.00°. Symmetry generates all atoms from Pd at (0.000, 0.000, 0.000), I at (0.250, 0.250, 0.250) and O at (0.000, 0.000, 0.500).

---

[2]
This record from the Alexandria database describes a relaxed structure of SmDyPu. The functional is GGA-PBE.

The calculated volume comes out at 30.71 Å³ per atom. For the density of states at the Fermi level, the calculation gives 59.33 states/eV per cell. Its formation energy is 0.4 eV/f.u. The value obtained for the offset from the most stable computed form is 0.073 eV/f.u. Its magnetic moment is 6.58 μB/f.u.

The structure belongs to space group Pmma (No. 51); the cell edges are 16.516, 3.480 and 9.619 Å and the angles 90.00°, 90.00° and 90.00°. Symmetry generates all atoms from Sm at (0.098, 0.000, 0.075), Sm at (0.250, 0.000, 0.621), Dy at (0.071, 0.500, 0.744), Dy at (0.250, 0.500, 0.285), Pu at (0.083, 0.000, 0.423) and Pu at (0.250, 0.500, 0.925).

---

[3]
This record from the Alexandria database describes a relaxed structure of Li6Hg2Pd3. The functional is GGA-PBE.

The calculated volume comes out at 17.69 Å³ per atom. For the density of states at the Fermi level, the calculation gives 8.27 states/eV per cell. Its formation energy is -2.7 eV/f.u. The value obtained for the offset from the most stable computed form is 0.025 eV/f.u. Its magnetic moment is 0.00 μB/f.u.

The structure belongs to space group I4/mmm (No. 139); the cell edges are 4.033, 4.033 and 23.929 Å and the angles 90.00°, 90.00° and 90.00°. Symmetry generates all atoms from Li at (0.000, 0.000, 0.228), Li at (0.000, 0.500, 0.062), Hg at (0.000, 0.000, 0.345), Pd at (0.000, 0.000, 0.000) and Pd at (0.000, 0.000, 0.126).

---

[4]
This record from the Alexandria database describes a relaxed structure of Sm2HoHg. The functional is GGA-PBE.

The calculated volume comes out at 31.16 Å³ per atom. For the density of states at the Fermi level, the calculation gives 16.07 states/eV per cell. Its formation energy is -0.6 eV/f.u. The value obtained for the offset from the most stable computed form is 0.344 eV/f.u. Its magnetic moment is 0.00 μB/f.u.

The structure belongs to space group R3m (No. 160, hexagonal axes); the cell edges are 3.6775, 3.6775 and 31.9230 Å and the angles 90.00°, 90.00° and 120.00°. Symmetry generates all atoms from Sm at (0.0000, 0.0000, 0.0000), Sm at (0.0000, 0.0000, 0.1789), Ho at (0.0000, 0.0000, 0.4227) and Hg at (0.0000, 0.0000, 0.5894).